Entry 1:
The following is a DFT calculation (PBE) of a relaxed BaIn6Sn2 crystal.

Cell: 4.859 4.859 11.581 Å, 90.00 90.00 90.00°
Fractional coordinates of all 9 atoms:
Ba (0.000, 0.000, 0.000)
In (0.000, 0.000, 0.500)
In (0.000, 0.500, 0.295)
In (0.000, 0.500, 0.705)
In (0.500, 0.000, 0.295)
In (0.500, 0.000, 0.705)
In (0.500, 0.500, 0.500)
Sn (0.500, 0.500, 0.126)
Sn (0.500, 0.500, 0.874)

Formation enthalpy at 0 K (eV per atom): -0.147
Raw total energy (eV for the cell shown): -27.7
Fermi-level density of states (states/eV/f.u.): 5.0
SG: P4/mmm (123)

---

Entry 2:
The following is a DFT calculation (PBE) of a relaxed CsMnAsSe2 crystal.

Cell: 5.848 5.848 5.978 Å, 90.00 90.00 90.00°
Fractional coordinates of all 5 atoms:
Cs (0.000, 0.000, 0.000)
Mn (0.500, 0.500, 0.500)
As (0.000, 0.000, 0.500)
Se (0.000, 0.500, 0.000)
Se (0.500, 0.000, 0.000)

ΔE_f (raw) (meV per atom): 1517
Raw total energy (eV for the cell shown): -14.1
Fermi-level density of states (states/eV/f.u.): 6.4
SG: P4/mmm (123)

---

Entry 3:
The following is a DFT calculation (PBE) of a relaxed Sm3Dy4In crystal.

Cell: 11.268 7.087 6.212 Å, 90.00 90.00 90.00°
Fractional coordinates of all 16 atoms:
Sm (0.000, 0.128, 0.000)
Sm (0.240, 0.116, 0.342)
Sm (0.260, 0.884, 0.842)
Sm (0.500, 0.872, 0.500)
Sm (0.740, 0.884, 0.842)
Sm (0.760, 0.116, 0.342)
Dy (0.000, 0.377, 0.537)
Dy (0.000, 0.630, 0.013)
Dy (0.239, 0.625, 0.361)
Dy (0.261, 0.375, 0.861)
Dy (0.500, 0.370, 0.513)
Dy (0.500, 0.623, 0.037)
Dy (0.739, 0.375, 0.861)
Dy (0.761, 0.625, 0.361)
In (0.000, 0.867, 0.521)
In (0.500, 0.133, 0.021)

Formation enthalpy at 0 K (eV per atom): -0.110
Raw total energy (eV for the cell shown): -72.4
Fermi-level density of states (states/eV/f.u.): 8.8
SG: Pmn2_1 (31)

---

Entry 4:
The following is a DFT calculation (PBE) of a relaxed AsRu crystal.

Cell: 6.274 6.274 6.274 Å, 90.00 90.00 90.00°
Fractional coordinates of all 16 atoms:
As (0.125, 0.125, 0.125)
As (0.125, 0.625, 0.625)
As (0.375, 0.375, 0.875)
As (0.375, 0.875, 0.375)
As (0.625, 0.125, 0.625)
As (0.625, 0.625, 0.125)
As (0.875, 0.375, 0.375)
As (0.875, 0.875, 0.875)
Ru (0.125, 0.125, 0.625)
Ru (0.125, 0.625, 0.125)
Ru (0.375, 0.375, 0.375)
Ru (0.375, 0.875, 0.875)
Ru (0.625, 0.125, 0.125)
Ru (0.625, 0.625, 0.625)
Ru (0.875, 0.375, 0.875)
Ru (0.875, 0.875, 0.375)

Formation enthalpy at 0 K (eV per atom): 0.488
Raw total energy (eV for the cell shown): -103.6
Fermi-level density of states (states/eV/f.u.): 3.2
SG: Fd-3m (227)

---

Entry 5:
The following is a DFT calculation (PBE) of a relaxed ThMg2Si2Os crystal.

Cell: 4.953 4.953 10.803 Å, 90.00 90.00 90.00°
Fractional coordinates of all 12 atoms:
Th (0.000, 0.000, 0.000)
Th (0.500, 0.500, 0.500)
Mg (0.000, 0.500, 0.250)
Mg (0.000, 0.500, 0.750)
Mg (0.500, 0.000, 0.250)
Mg (0.500, 0.000, 0.750)
Si (0.000, 0.000, 0.290)
Si (0.000, 0.000, 0.710)
Si (0.500, 0.500, 0.210)
Si (0.500, 0.500, 0.790)
Os (0.000, 0.000, 0.500)
Os (0.500, 0.500, 0.000)

ΔE_f (raw) (meV per atom): 353
Raw total energy (eV for the cell shown): -61.1
Fermi-level density of states (states/eV/f.u.): 5.3
SG: I4/mmm (139)

---

Entry 6:
The following is a DFT calculation (PBE) of a relaxed Tb2Pm6NdHo3 crystal.

Cell: 6.255 6.255 11.904 Å, 95.01 95.01 119.99°
Fractional coordinates of all 12 atoms:
Tb (0.167, 0.833, 0.000)
Tb (0.833, 0.167, 0.000)
Pm (0.082, 0.416, 0.748)
Pm (0.251, 0.251, 0.252)
Pm (0.416, 0.082, 0.748)
Pm (0.584, 0.918, 0.252)
Pm (0.749, 0.749, 0.748)
Pm (0.918, 0.584, 0.252)
Nd (0.500, 0.500, 0.000)
Ho (0.000, 0.000, 0.500)
Ho (0.333, 0.667, 0.500)
Ho (0.667, 0.333, 0.500)

Formation enthalpy at 0 K (eV per atom): 0.014
Raw total energy (eV for the cell shown): -56.1
Fermi-level density of states (states/eV/f.u.): 14.9
SG: C2/m (12)

---

Entry 7:
The following is a DFT calculation (PBE) of a relaxed Y2MgOs crystal.

Cell: 6.967 6.974 3.682 Å, 90.00 90.00 90.00°
Fractional coordinates of all 8 atoms:
Y (0.250, 0.250, 0.000)
Y (0.250, 0.750, 0.000)
Y (0.750, 0.250, 0.000)
Y (0.750, 0.750, 0.000)
Mg (0.000, 0.000, 0.500)
Mg (0.500, 0.500, 0.500)
Os (0.000, 0.500, 0.500)
Os (0.500, 0.000, 0.500)

Formation enthalpy at 0 K (eV per atom): -0.053
Raw total energy (eV for the cell shown): -51.9
Fermi-level density of states (states/eV/f.u.): 3.4
SG: Cmmm (65)

---

Entry 8:
The following is a DFT calculation (PBE) of a relaxed PmBeZnCu crystal.

Cell: 6.470 6.470 6.470 Å, 90.00 90.00 90.00°
Fractional coordinates of all 16 atoms:
Pm (0.000, 0.000, 0.000)
Pm (0.000, 0.500, 0.500)
Pm (0.500, 0.000, 0.500)
Pm (0.500, 0.500, 0.000)
Be (0.250, 0.250, 0.250)
Be (0.250, 0.750, 0.750)
Be (0.750, 0.250, 0.750)
Be (0.750, 0.750, 0.250)
Zn (0.000, 0.000, 0.500)
Zn (0.000, 0.500, 0.000)
Zn (0.500, 0.000, 0.000)
Zn (0.500, 0.500, 0.500)
Cu (0.250, 0.250, 0.750)
Cu (0.250, 0.750, 0.250)
Cu (0.750, 0.250, 0.250)
Cu (0.750, 0.750, 0.750)

Formation enthalpy at 0 K (eV per atom): -0.024
Raw total energy (eV for the cell shown): -55.8
Fermi-level density of states (states/eV/f.u.): 1.9
SG: F-43m (216)

---

Entry 9:
The following is a DFT calculation (PBE) of a relaxed Tb2In8Rh crystal.

Cell: 4.651 4.651 12.181 Å, 90.00 90.00 90.00°
Fractional coordinates of all 11 atoms:
Tb (0.000, 0.000, 0.191)
Tb (0.000, 0.000, 0.809)
In (0.000, 0.500, 0.000)
In (0.000, 0.500, 0.377)
In (0.000, 0.500, 0.623)
In (0.500, 0.000, 0.000)
In (0.500, 0.000, 0.377)
In (0.500, 0.000, 0.623)
In (0.500, 0.500, 0.191)
In (0.500, 0.500, 0.809)
Rh (0.000, 0.000, 0.500)

Formation enthalpy at 0 K (eV per atom): -0.419
Raw total energy (eV for the cell shown): -43.1
Fermi-level density of states (states/eV/f.u.): 5.8
SG: P4/mmm (123)

---

Entry 10:
The following is a DFT calculation (PBE) of a relaxed PuThSi2 crystal.

Cell: 4.666 4.666 14.889 Å, 90.00 90.00 120.00°
Fractional coordinates of all 12 atoms:
Pu (0.000, 0.000, 0.000)
Pu (0.333, 0.667, 0.667)
Pu (0.667, 0.333, 0.333)
Th (0.000, 0.000, 0.500)
Th (0.333, 0.667, 0.167)
Th (0.667, 0.333, 0.833)
Si (0.000, 0.000, 0.261)
Si (0.000, 0.000, 0.739)
Si (0.333, 0.667, 0.406)
Si (0.333, 0.667, 0.928)
Si (0.667, 0.333, 0.072)
Si (0.667, 0.333, 0.594)

ΔE_f (raw) (meV per atom): -350
Raw total energy (eV for the cell shown): -102.0
Fermi-level density of states (states/eV/f.u.): 8.3
SG: R-3m (166)

---

Entry 11:
The following is a DFT calculation (PBE) of a relaxed AcTb3Ni crystal.

Cell: 5.426 5.426 5.426 Å, 90.00 90.00 90.00°
Fractional coordinates of all 5 atoms:
Ac (0.000, 0.000, 0.000)
Tb (0.000, 0.500, 0.500)
Tb (0.500, 0.000, 0.500)
Tb (0.500, 0.500, 0.000)
Ni (0.500, 0.500, 0.500)

Formation enthalpy at 0 K (eV per atom): -0.086
Raw total energy (eV for the cell shown): -24.2
Fermi-level density of states (states/eV/f.u.): 10.5
SG: Pm-3m (221)

---

Entry 12:
The following is a DFT calculation (PBE) of a relaxed Th2CdGe3Rh4 crystal.

Cell: 4.110 4.110 11.364 Å, 90.00 90.00 90.00°
Fractional coordinates of all 10 atoms:
Th (0.000, 0.500, 0.247)
Th (0.500, 0.000, 0.753)
Cd (0.000, 0.000, 0.500)
Ge (0.000, 0.500, 0.880)
Ge (0.500, 0.000, 0.120)
Ge (0.500, 0.500, 0.500)
Rh (0.000, 0.000, 0.000)
Rh (0.000, 0.500, 0.665)
Rh (0.500, 0.000, 0.335)
Rh (0.500, 0.500, 0.000)

Formation enthalpy at 0 K (eV per atom): -0.778
Raw total energy (eV for the cell shown): -66.8
Fermi-level density of states (states/eV/f.u.): 5.0
SG: P-4m2 (115)

---

Entry 13:
The following is a DFT calculation (PBE) of a relaxed LaCeTl2Se4 crystal.

Cell: 7.609 4.395 8.110 Å, 90.00 108.21 90.00°
Fractional coordinates of all 8 atoms:
La (0.000, 0.000, 0.000)
Ce (0.500, 0.500, 0.000)
Tl (0.000, 0.500, 0.500)
Tl (0.500, 0.000, 0.500)
Se (0.240, 0.500, 0.211)
Se (0.267, 0.000, 0.791)
Se (0.733, 0.000, 0.209)
Se (0.760, 0.500, 0.789)

ΔE_f (raw) (meV per atom): -1387
Raw total energy (eV for the cell shown): -40.6
Fermi-level density of states (states/eV/f.u.): 6.0
SG: P2/m (10)

---

Entry 14:
The following is a DFT calculation (PBE) of a relaxed SmDy5Er3 crystal.

Cell: 9.275 9.275 12.164 Å, 126.05 126.05 50.75°
Fractional coordinates of all 18 atoms:
Sm (0.235, 0.235, 0.130)
Sm (0.765, 0.765, 0.870)
Dy (0.124, 0.124, 0.567)
Dy (0.142, 0.729, 0.221)
Dy (0.271, 0.858, 0.779)
Dy (0.299, 0.299, 0.929)
Dy (0.321, 0.679, 0.000)
Dy (0.679, 0.321, 0.000)
Dy (0.701, 0.701, 0.071)
Dy (0.729, 0.142, 0.221)
Dy (0.858, 0.271, 0.779)
Dy (0.876, 0.876, 0.433)
Er (0.000, 0.000, 0.000)
Er (0.172, 0.172, 0.339)
Er (0.380, 0.380, 0.683)
Er (0.500, 0.500, 0.500)
Er (0.620, 0.620, 0.317)
Er (0.828, 0.828, 0.661)

Formation enthalpy at 0 K (eV per atom): 0.427
Raw total energy (eV for the cell shown): -75.1
Fermi-level density of states (states/eV/f.u.): 13.4
SG: C2/m (12)

---

Entry 15:
The following is a DFT calculation (PBE) of a relaxed LiAc2AlO6 crystal.

Cell: 5.547 5.547 5.547 Å, 119.91 119.91 90.16°
Fractional coordinates of all 10 atoms:
Li (0.000, 0.000, 0.000)
Ac (0.250, 0.750, 0.500)
Ac (0.750, 0.250, 0.500)
Al (0.500, 0.500, 0.000)
O (0.259, 0.259, 0.000)
O (0.260, 0.260, 0.519)
O (0.260, 0.740, 0.000)
O (0.740, 0.260, 0.000)
O (0.740, 0.740, 0.481)
O (0.741, 0.741, 0.000)

ΔE_f (raw) (meV per atom): -2649
Raw total energy (eV for the cell shown): -70.1
Fermi-level density of states (states/eV/f.u.): 6.6
SG: I4/mmm (139)

---

Entry 16:
The following is a DFT calculation (PBE) of a relaxed NpCu2PdO8 crystal.

Cell: 5.768 5.768 5.768 Å, 111.55 111.55 105.39°
Fractional coordinates of all 12 atoms:
Np (0.000, 0.000, 0.000)
Cu (0.250, 0.750, 0.500)
Cu (0.500, 0.500, 0.000)
Pd (0.750, 0.250, 0.500)
O (0.058, 0.356, 0.298)
O (0.058, 0.759, 0.702)
O (0.100, 0.290, 0.810)
O (0.241, 0.942, 0.298)
O (0.479, 0.290, 0.190)
O (0.644, 0.942, 0.702)
O (0.710, 0.521, 0.810)
O (0.710, 0.900, 0.190)

ΔE_f (raw) (meV per atom): -881
Raw total energy (eV for the cell shown): -76.6
Fermi-level density of states (states/eV/f.u.): 12.7
SG: I-4m2 (119)

---

Entry 17:
The following is a DFT calculation (PBE) of a relaxed Pm2PdSe3 crystal.

Cell: 7.557 4.058 19.787 Å, 90.00 90.00 90.00°
Fractional coordinates of all 24 atoms:
Pm (0.101, 0.250, 0.197)
Pm (0.224, 0.750, 0.502)
Pm (0.276, 0.250, 0.002)
Pm (0.399, 0.750, 0.697)
Pm (0.601, 0.250, 0.303)
Pm (0.724, 0.750, 0.998)
Pm (0.776, 0.250, 0.498)
Pm (0.899, 0.750, 0.803)
Pd (0.109, 0.250, 0.619)
Pd (0.391, 0.750, 0.119)
Pd (0.609, 0.250, 0.881)
Pd (0.891, 0.750, 0.381)
Se (0.066, 0.750, 0.083)
Se (0.094, 0.250, 0.409)
Se (0.155, 0.250, 0.752)
Se (0.345, 0.750, 0.252)
Se (0.406, 0.750, 0.909)
Se (0.434, 0.250, 0.583)
Se (0.566, 0.750, 0.417)
Se (0.594, 0.250, 0.091)
Se (0.655, 0.250, 0.748)
Se (0.845, 0.750, 0.248)
Se (0.906, 0.750, 0.591)
Se (0.934, 0.250, 0.917)

ΔE_f (raw) (meV per atom): -1535
Raw total energy (eV for the cell shown): -137.4
Fermi-level density of states (states/eV/f.u.): 0.8
SG: Pnma (62)

---

Entry 18:
The following is a DFT calculation (PBE) of a relaxed Rb3MnW crystal.

Cell: 7.060 7.060 7.060 Å, 90.00 90.00 90.00°
Fractional coordinates of all 5 atoms:
Rb (0.000, 0.000, 0.500)
Rb (0.000, 0.500, 0.000)
Rb (0.500, 0.000, 0.000)
Mn (0.500, 0.500, 0.500)
W (0.000, 0.000, 0.000)

Formation enthalpy at 0 K (eV per atom): 1.904
Raw total energy (eV for the cell shown): -15.5
Fermi-level density of states (states/eV/f.u.): 9.5
SG: Pm-3m (221)

---

Entry 19:
The following is a DFT calculation (PBE) of a relaxed Ac2ZnGa3Ag4 crystal.

Cell: 4.596 4.596 10.708 Å, 90.00 90.00 90.00°
Fractional coordinates of all 10 atoms:
Ac (0.000, 0.500, 0.249)
Ac (0.500, 0.000, 0.751)
Zn (0.500, 0.500, 0.000)
Ga (0.000, 0.000, 0.000)
Ga (0.000, 0.500, 0.631)
Ga (0.500, 0.000, 0.369)
Ag (0.000, 0.000, 0.500)
Ag (0.000, 0.500, 0.873)
Ag (0.500, 0.000, 0.127)
Ag (0.500, 0.500, 0.500)

Formation enthalpy at 0 K (eV per atom): -0.345
Raw total energy (eV for the cell shown): -33.4
Fermi-level density of states (states/eV/f.u.): 6.0
SG: P-4m2 (115)

---

Entry 20:
The following is a DFT calculation (PBE) of a relaxed TlTeH3 crystal.

Cell: 3.942 10.312 9.975 Å, 90.00 104.70 90.00°
Fractional coordinates of all 20 atoms:
Tl (0.129, 0.249, 0.474)
Tl (0.129, 0.251, 0.974)
Tl (0.871, 0.749, 0.026)
Tl (0.871, 0.751, 0.526)
Te (0.150, 0.503, 0.762)
Te (0.150, 0.997, 0.262)
Te (0.850, 0.003, 0.738)
Te (0.850, 0.497, 0.238)
H (0.249, 0.617, 0.898)
H (0.249, 0.883, 0.398)
H (0.341, 0.017, 0.725)
H (0.341, 0.483, 0.225)
H (0.442, 0.529, 0.501)
H (0.442, 0.971, 0.001)
H (0.558, 0.029, 0.999)
H (0.558, 0.471, 0.499)
H (0.659, 0.517, 0.775)
H (0.659, 0.983, 0.275)
H (0.751, 0.117, 0.602)
H (0.751, 0.383, 0.102)

Raw total energy (eV for the cell shown): -57.4
Fermi-level density of states (states/eV/f.u.): 1.7
SG: P2_1/c (14)

---

Entry 21:
The following is a DFT calculation (PBE) of a relaxed BeCu2Pd crystal.

Cell: 2.734 2.734 6.277 Å, 90.00 90.00 90.00°
Fractional coordinates of all 4 atoms:
Be (0.000, 0.000, 0.000)
Cu (0.500, 0.500, 0.209)
Cu (0.500, 0.500, 0.791)
Pd (0.000, 0.000, 0.500)

Formation enthalpy at 0 K (eV per atom): -0.124
Raw total energy (eV for the cell shown): -17.6
Fermi-level density of states (states/eV/f.u.): 1.4
SG: P4/mmm (123)

---

Entry 22:
The following is a DFT calculation (PBE) of a relaxed Rb2FeBiN crystal.

Cell: 7.148 7.148 4.466 Å, 90.00 90.00 90.00°
Fractional coordinates of all 5 atoms:
Rb (0.000, 0.500, 0.000)
Rb (0.500, 0.000, 0.000)
Fe (0.000, 0.000, 0.500)
Bi (0.500, 0.500, 0.000)
N (0.500, 0.500, 0.500)

ΔE_f (raw) (meV per atom): 1209
Raw total energy (eV for the cell shown): -16.6
Fermi-level density of states (states/eV/f.u.): 8.7
SG: P4/mmm (123)

---

Entry 23:
The following is a DFT calculation (PBE) of a relaxed In2TcRh crystal.

Cell: 4.016 4.016 8.797 Å, 90.00 90.00 90.00°
Fractional coordinates of all 8 atoms:
In (0.000, 0.000, 0.000)
In (0.000, 0.500, 0.250)
In (0.500, 0.000, 0.750)
In (0.500, 0.500, 0.500)
Tc (0.000, 0.000, 0.500)
Tc (0.500, 0.500, 0.000)
Rh (0.000, 0.500, 0.750)
Rh (0.500, 0.000, 0.250)

Formation enthalpy at 0 K (eV per atom): 0.198
Raw total energy (eV for the cell shown): -44.8
Fermi-level density of states (states/eV/f.u.): 4.2
SG: I-4m2 (119)